Compound: V2NiGe2
Source: Alexandria via LeMat-Bulk
Functional: PBE-GGA
Structure: optimized geometry

Symmetry   Cmc2_1 (36)
ΔE_f   -0.23 eV per atom
Offset from the most stable computed form   0 meV per atom

Unit cell a=6.833 b=6.833 c=5.529 alpha=90.00 beta=90.00 gamma=145.28
Fractional coordinates of all 10 atoms:
V: 0.006 0.994 0.500
V: 0.173 0.827 0.255
V: 0.827 0.173 0.755
V: 0.994 0.006 0.000
Ni: 0.326 0.674 0.013
Ni: 0.674 0.326 0.513
Ge: 0.173 0.827 0.768
Ge: 0.453 0.547 0.713
Ge: 0.547 0.453 0.213
Ge: 0.827 0.173 0.268

---

Compound: Mg9ZnCd2
Source: Alexandria via LeMat-Bulk
Functional: PBE-GGA
Structure: optimized geometry

Symmetry   P4/mmm (123)
ΔE_f   -0.05 eV per atom

Unit cell a=4.501 b=4.501 c=12.713 alpha=90.00 beta=90.00 gamma=90.00
Fractional coordinates of all 12 atoms:
Mg: 0.000 0.000 0.000
Mg: 0.000 0.000 0.330
Mg: 0.000 0.000 0.670
Mg: 0.000 0.500 0.160
Mg: 0.000 0.500 0.500
Mg: 0.000 0.500 0.840
Mg: 0.500 0.000 0.160
Mg: 0.500 0.000 0.500
Mg: 0.500 0.000 0.840
Zn: 0.500 0.500 0.000
Cd: 0.500 0.500 0.330
Cd: 0.500 0.500 0.670

---

Compound: LaPmH
Source: Alexandria via LeMat-Bulk
Functional: PBE-GGA
Structure: optimized geometry

Symmetry   P4_122 (91)
Offset from the most stable computed form   0 meV per atom

Unit cell a=3.507 b=3.507 c=47.609 alpha=90.00 beta=90.00 gamma=90.00
Fractional coordinates of all 24 atoms:
La: 0.229 0.265 0.158
La: 0.229 0.735 0.342
La: 0.265 0.229 0.592
La: 0.265 0.771 0.908
La: 0.735 0.229 0.408
La: 0.735 0.771 0.092
La: 0.771 0.265 0.842
La: 0.771 0.735 0.658
Pm: 0.239 0.273 0.036
Pm: 0.239 0.727 0.464
Pm: 0.273 0.239 0.714
Pm: 0.273 0.761 0.786
Pm: 0.727 0.239 0.286
Pm: 0.727 0.761 0.214
Pm: 0.761 0.273 0.964
Pm: 0.761 0.727 0.536
H: 0.227 0.261 0.208
H: 0.227 0.739 0.292
H: 0.261 0.227 0.542
H: 0.261 0.773 0.958
H: 0.739 0.227 0.458
H: 0.739 0.773 0.042
H: 0.773 0.261 0.792
H: 0.773 0.739 0.708

---

Number 1: spin magnetization 0.00 μB/f.u., total DFT energy (no corrections) -6.8785 eV/atom. Number 2: spin magnetization 0.00 μB/f.u., total DFT energy (no corrections) -1.5013 eV/atom. Number 3: spin magnetization 0.00 μB/f.u., total DFT energy (no corrections) -4.5589 eV/atom.